Compound: YCuTe2
Source: the Alexandria database
Functional: PBE-GGA
Structure: optimized geometry

The structure belongs to space group Cmmm (No. 65); the cell edges are 7.025, 7.063 and 3.885 Å and the angles 90.00°, 90.00° and 90.00°. The asymmetric unit holds Y at (0.000, 0.000, 0.000), Cu at (0.000, 0.500, 0.000) and Te at (0.250, 0.250, 0.500).

For the formation energy (no corrections), the calculation gives -0.522 eV per atom. Its total energy is -4.7324 eV/atom.



Compound: YCu3Te3
Source: the Alexandria database
Functional: PBE-GGA
Structure: optimized geometry

The structure belongs to space group R-3 (No. 148, hexagonal axes); the cell edges are 7.4521, 7.4521 and 21.0757 Å and the angles 90.00°, 90.00° and 120.00°. The asymmetric unit holds Y at (0.0000, 0.0000, 0.1627), Cu at (0.0180, 0.3118, 0.9594) and Te at (0.0076, 0.3180, 0.4180).

For the formation energy (no corrections), the calculation gives -0.511 eV per atom. Its total energy is -4.5368 eV/atom.



Compound: YCuTe2
Source: the Alexandria database
Functional: PBE-GGA
Structure: optimized geometry

The structure belongs to space group F-43m (No. 216); the cell edges are 7.381, 7.381 and 7.381 Å and the angles 90.00°, 90.00° and 90.00°. The asymmetric unit holds Y at (0.000, 0.000, 0.000), Cu at (0.250, 0.250, 0.750), Te at (0.000, 0.000, 0.500) and Te at (0.250, 0.250, 0.250).

For the formation energy (no corrections), the calculation gives -0.191 eV per atom. Its total energy is -4.4023 eV/atom.



Compound: Y4CuTe3
Source: the Alexandria database
Functional: PBE-GGA
Structure: optimized geometry

The structure belongs to space group Cmmm (No. 65); the cell edges are 8.853, 12.211 and 4.182 Å and the angles 90.00°, 90.00° and 90.00°. The asymmetric unit holds Y at (0.000, 0.237, 0.000), Y at (0.223, 0.000, 0.500), Cu at (0.000, 0.000, 0.000), Te at (0.000, 0.500, 0.000) and Te at (0.250, 0.250, 0.500).

For the formation energy (no corrections), the calculation gives -1.043 eV per atom. Its total energy is -5.9651 eV/atom.



Compound: Y6Cu2Te
Source: the Alexandria database
Functional: PBE-GGA
Structure: optimized geometry

The structure belongs to space group Immm (No. 71); the cell edges are 9.163, 9.677 and 10.918 Å and the angles 90.00°, 90.00° and 90.00°. The asymmetric unit holds Y at (0.000, 0.199, 0.223), Y at (0.191, 0.500, 0.179), Y at (0.203, 0.312, 0.500), Cu at (0.000, 0.360, 0.000), Cu at (0.000, 0.500, 0.383), Te at (0.000, 0.000, 0.000) and Te at (0.000, 0.000, 0.500).

For the formation energy (no corrections), the calculation gives -0.334 eV per atom. Its total energy is -5.9027 eV/atom.



Compound: YCuTe2
Source: the Alexandria database
Functional: PBE-GGA
Structure: optimized geometry

The structure belongs to space group I-4m2 (No. 119); the cell edges are 4.224, 4.224 and 11.093 Å and the angles 90.00°, 90.00° and 90.00°. The asymmetric unit holds Y at (0.000, 0.000, 0.000), Cu at (0.000, 0.500, 0.750), Te at (0.000, 0.000, 0.500) and Te at (0.000, 0.500, 0.250).

For the formation energy (no corrections), the calculation gives -0.509 eV per atom. Its total energy is -4.7203 eV/atom.



Compound: YCu2Te2
Source: the Alexandria database
Functional: PBE-GGA
Structure: optimized geometry

The structure belongs to space group I4/mmm (No. 139); the cell edges are 5.155, 5.155 and 8.507 Å and the angles 90.00°, 90.00° and 90.00°. The asymmetric unit holds Y at (0.000, 0.000, 0.000), Cu at (0.000, 0.000, 0.357) and Te at (0.000, 0.500, 0.250).

For the polymorph energy (0 for the lowest one), the calculation gives 142 meV per atom. For the formation energy (no corrections), the calculation gives -0.310 eV per atom. Its total energy is -4.4983 eV/atom.



Compound: Y7Cu2Te2
Source: the Alexandria database
Functional: PBE-GGA
Structure: optimized geometry

The structure belongs to space group Imm2 (No. 44); the cell edges are 3.987, 15.602 and 9.671 Å and the angles 90.00°, 90.00° and 90.00°. The asymmetric unit holds Y at (0.000, 0.000, 0.000), Y at (0.000, 0.128, 0.588), Y at (0.000, 0.314, 0.383), Y at (0.000, 0.358, 0.739), Cu at (0.000, 0.237, 0.079), Te at (0.000, 0.000, 0.340) and Te at (0.000, 0.500, 0.240).

For the formation energy (no corrections), the calculation gives -0.599 eV per atom. Its total energy is -6.0283 eV/atom.